## LiMg6CrO8 (GGA+U)

Data for crystalline LiMg6CrO8 at its relaxed geometry.

CIF file:
```
data_LiMg6CrO8
_chemical_formula_sum 'Li1 Mg6 Cr1 O8'
_cell_length_a 4.202
_cell_length_b 4.202
_cell_length_c 8.555
_cell_angle_alpha 90.00
_cell_angle_beta 90.00
_cell_angle_gamma 90.00
_space_group_name_H-M_alt 'P 4/m m m'
_space_group_IT_number 123
_space_group_name_Hall '-P 4 2'
loop_
_atom_site_label
_atom_site_type_symbol
_atom_site_fract_x
_atom_site_fract_y
_atom_site_fract_z
Li1 Li 0.000 0.000 0.000
Mg1 Mg 0.000 0.000 0.500
Mg2 Mg 0.000 0.500 0.247
Mg3 Mg 0.500 0.500 0.500
Cr1 Cr 0.500 0.500 0.000
O1 O 0.000 0.000 0.257
O2 O 0.000 0.500 0.000
O3 O 0.000 0.500 0.500
O4 O 0.500 0.500 0.239
```

* energy relative to the lowest polymorph listed for this composition: 0 meV/atom
* volume: 9.44 Å³/atom